The following is a DFT calculation (PBE) of a relaxed structure of PrAgNO.

Cell lengths 3.5400, 5.8462, 5.8700 Å; angles 90.00, 90.00, 90.00 degrees
Atoms (fractional coordinates):
Ag (0.0000, 0.5594, 0.2042)
Ag (0.0000, 0.0594, 0.7958)
N (0.0000, 0.8096, 0.4958)
N (0.0000, 0.3096, 0.5042)
O (0.5000, 0.3236, 0.0091)
O (0.5000, 0.8236, 0.9909)
Pr (0.5000, 0.0613, 0.3095)
Pr (0.5000, 0.5613, 0.6905)

## Properties
The electronic total energy comes out at -6.08 eV/atom. As for the space group: Pmc2_1.

---

The following is a DFT calculation (PBE) of a relaxed structure of LuCu.

Cell lengths 3.9380, 3.9380, 3.9380 Å; angles 60.00, 60.00, 60.00 degrees
Atoms (fractional coordinates):
Cu (0.0000, 0.0000, 0.0000)
Lu (0.5000, 0.5000, 0.5000)

## Properties
As for the space group: Fm-3m. The energy of formation from the pure elements comes out at -0.050 eV per atom.

---

The following is a DFT calculation (PBE) of a relaxed structure of Ta4FeAsC2.

Cell lengths 3.1738, 3.1738, 12.6871 Å; angles 90.00, 90.00, 120.00 degrees
Last column: magnetic moment on the atom in μB.
Atoms (fractional coordinates):
As (0.0000, 0.0000, 0.0000)  -0.01
C (0.3333, 0.6667, 0.2496)  0.00
C (0.3333, 0.6667, 0.7504)  0.00
Fe (0.6667, 0.3333, 0.5000)  1.52
Ta (0.6667, 0.3333, 0.1514)  -0.01
Ta (0.0000, 0.0000, 0.3464)  -0.10
Ta (0.0000, 0.0000, 0.6536)  -0.11
Ta (0.6667, 0.3333, 0.8486)  -0.01

## Properties
The electronic total energy comes out at -10.22 eV/atom. As for the space group: P-6m2.

---

The following is a DFT calculation (PBE) of a relaxed structure of YTmCu2Sn2.

Cell lengths 4.5260, 4.5260, 7.1866 Å; angles 90.00, 90.00, 120.00 degrees
Atoms (fractional coordinates):
Cu (0.3333, 0.6667, 0.0571)
Cu (0.6667, 0.3333, 0.5475)
Sn (0.3333, 0.6667, 0.4610)
Sn (0.6667, 0.3333, 0.9666)
Tm (0.0000, 0.0000, 0.2337)
Y (0.0000, 0.0000, 0.7341)

## Properties
The electronic total energy comes out at -5.00 eV/atom. As for the space group: P3m1.

---

The following is a DFT calculation (PBE) of a relaxed structure of SiB2Ir.

Cell lengths 3.9325, 3.9325, 3.9325 Å; angles 60.00, 60.00, 60.00 degrees
Atoms (fractional coordinates):
B (0.0000, 0.0000, 0.0000)
B (0.7500, 0.7500, 0.7500)
Ir (0.2500, 0.2500, 0.2500)
Si (0.5000, 0.5000, 0.5000)

## Properties
The electronic total energy comes out at -5.88 eV/atom. As for the space group: F-43m.

---

The following is a DFT calculation (PBE) of a relaxed structure of ReAg2BiS6.

Cell lengths 7.0604, 7.0604, 7.0604 Å; angles 120.00, 120.00, 60.00 degrees
Atoms (fractional coordinates):
Ag (0.7500, 0.7500, 0.2500)
Ag (0.2500, 0.2500, 0.7500)
Bi (0.5000, 0.5000, 0.5000)
Re (0.0000, 0.0000, 0.0000)
S (0.2326, 0.2326, 0.2326)
S (0.7674, 0.2326, 0.2326)
S (0.2326, 0.7674, 0.2326)
S (0.7674, 0.2326, 0.7674)
S (0.2326, 0.7674, 0.7674)
S (0.7674, 0.7674, 0.7674)

## Properties
The electronic total energy comes out at -4.24 eV/atom. As for the space group: Fm-3m.

---

For reference, V by record: 15.2 21.6 13.8 21.2 10.8 24.9 Å³/atom.